# 1
Below is an optimized crystal structure of SmIn2Pt9, with properties calculated at the PBE level.

Its formation energy from the elements is -551 meV per atom. Its total energy is -5.931 eV per atom.

The structure belongs to space group P4/mmm (No. 123); the cell edges are 4.0982, 4.0982 and 12.2294 Å and the angles 90.00°, 90.00° and 90.00°. The inequivalent atoms are Sm at (0.0000, 0.0000, 0.0000), In at (0.0000, 0.0000, 0.3381), Pt at (0.0000, 0.5000, 0.1747), Pt at (0.0000, 0.5000, 0.5000), Pt at (0.5000, 0.5000, 0.0000) and Pt at (0.5000, 0.5000, 0.3371).

# 2
Below is an optimized crystal structure of YZr3Te, with properties calculated at the PBE level.

As for the excess energy over the best structure of this formula in the dataset: 0 meV/atom. The formation energy from raw total energies comes out at 296 meV/atom. Its total energy is -6.754 eV per atom.

The structure belongs to space group Pm-3m (No. 221); the cell edges are 5.3247, 5.3247 and 5.3247 Å and the angles 90.00°, 90.00° and 90.00°. The inequivalent atoms are Y at (0.0000, 0.0000, 0.0000), Zr at (0.0000, 0.5000, 0.5000) and Te at (0.5000, 0.5000, 0.5000).

# 3
Below is an optimized crystal structure of Sm3Dy2Tm6, with properties calculated at the PBE level.

As for the excess energy over the best structure of this formula in the dataset: 0 meV/atom. Its formation energy from the elements is 204 meV per atom. Its total energy is -4.359 eV per atom.

The structure belongs to space group C2/m (No. 12); the cell edges are 6.0938, 10.5756 and 11.5014 Å and the angles 90.00°, 100.31° and 90.00°. The inequivalent atoms are Sm at (0.0000, 0.0000, 0.0000), Sm at (0.0000, 0.3357, 0.0000), Dy at (0.0000, 0.1663, 0.5000), Tm at (0.2490, 0.0000, 0.7474) and Tm at (0.2487, 0.3334, 0.7471).

# 4
Below is an optimized crystal structure of Ag2Br2F, with properties calculated at the PBE level.

As for the excess energy over the best structure of this formula in the dataset: 65 meV/atom. The formation energy from raw total energies comes out at -471 meV/atom. Its total energy is -2.655 eV per atom.

The structure belongs to space group I4/mmm (No. 139); the cell edges are 5.3255, 5.3255 and 11.2557 Å and the angles 90.00°, 90.00° and 90.00°. The inequivalent atoms are Ag at (0.0000, 0.0000, 0.1938), Br at (0.0000, 0.5000, 0.2500) and F at (0.0000, 0.0000, 0.0000).

# 5
Below is an optimized crystal structure of LaZn2Pd8, with properties calculated at the PBE level.

Its formation energy from the elements is -145 meV per atom. Its total energy is -4.601 eV per atom.

The structure belongs to space group P4/mmm (No. 123); the cell edges are 6.1223, 6.1223 and 5.5914 Å and the angles 90.00°, 90.00° and 90.00°. The inequivalent atoms are La at (0.0000, 0.0000, 0.0000), Zn at (0.0000, 0.5000, 0.5000) and Pd at (0.2789, 0.2789, 0.2490).

# 6
Below is an optimized crystal structure of SrCdSe, with properties calculated at the PBE level.

As for the excess energy over the best structure of this formula in the dataset: 213 meV/atom. The formation energy from raw total energies comes out at -896 meV/atom. Its total energy is -2.923 eV per atom.

The structure belongs to space group I4mm (No. 107); the cell edges are 3.9010, 3.9010 and 11.9442 Å and the angles 90.00°, 90.00° and 90.00°. The inequivalent atoms are Sr at (0.0000, 0.0000, 0.0000), Cd at (0.0000, 0.0000, 0.7121) and Se at (0.0000, 0.0000, 0.3794).